(1)
First-principles (PBE-GGA) data for an optimized crystal structure of La2AlSbO, as listed in Alexandria.

- energy relative to the elements, uncorrected (eV/atom) = -1.093
- volume (A^3/atom) = 24.9
- size of the total moment (μB/f.u.) = 0.00
- calculated total energy (eV/atom) = -5.63

Cell and atoms, written as POSCAR:
```
La2AlSbO
1.0
-0.709 -2.183 4.353
-3.410 -3.177 -2.148
3.609 -3.189 -1.012
Al La Sb O
1 2 1 1
direct
0.500 0.500 0.500 Al
0.500 0.000 0.000 La
0.000 0.000 0.500 La
0.000 0.500 0.000 Sb
0.000 0.000 0.000 O
```


(2)
First-principles (PBE-GGA) data for an optimized crystal structure of ZnH2SeO5, as listed in Alexandria.

- volume (A^3/atom) = 11.3
- size of the total moment (μB/f.u.) = 0.00
- calculated total energy (eV/atom) = -5.00

Cell and atoms, written as POSCAR:
```
ZnH2SeO5
1.0
-4.952 0.014 -2.188
-0.743 -3.881 3.701
-4.737 3.002 5.371
O Se H Zn
10 2 4 2
direct
0.121 0.879 0.250 O
0.685 0.291 0.078 O
0.753 0.682 0.658 O
0.682 0.753 0.158 O
0.315 0.709 0.922 O
0.247 0.318 0.342 O
0.318 0.247 0.842 O
0.709 0.315 0.422 O
0.291 0.685 0.578 O
0.879 0.121 0.750 O
0.582 0.418 0.250 Se
0.418 0.582 0.750 Se
0.866 0.964 0.705 H
0.036 0.134 0.795 H
0.134 0.036 0.295 H
0.964 0.866 0.205 H
0.500 0.000 0.000 Zn
0.000 0.500 0.500 Zn
```


(3)
First-principles (PBE-GGA) data for an optimized crystal structure of ReSeCl2, as listed in Alexandria.

- energy relative to the elements, uncorrected (eV/atom) = 0.333
- volume (A^3/atom) = 22.4
- size of the total moment (μB/f.u.) = 0.29
- energy above the most stable polymorph in this dataset (eV/f.u.) = 2.11
- calculated total energy (eV/atom) = -4.57

Cell and atoms, written as POSCAR:
```
ReSeCl2
1.0
3.103 -0.004 0.000
-1.773 2.547 0.000
0.000 0.000 11.335
Cl Se Re
2 1 1
direct
0.000 0.000 0.081 Cl
0.000 0.000 0.419 Cl
0.500 0.500 0.750 Se
0.500 0.500 0.250 Re
```


(4)
First-principles (PBE-GGA) data for an optimized crystal structure of RbBaTa2, as listed in Alexandria.

- volume (A^3/atom) = 33.7
- formation enthalpy at 0 K (eV per atom) = 1.810
- size of the total moment (μB/f.u.) = 0.00
- energy above the most stable polymorph in this dataset (eV/f.u.) = 0.00
- calculated total energy (eV/atom) = -4.84

Cell and atoms, written as POSCAR:
```
RbBaTa2
1.0
-0.145 0.186 4.667
-1.070 -4.546 0.148
11.390 -4.988 2.892
Ba Ta Rb
2 4 2
direct
0.750 0.250 0.500 Ba
0.000 0.000 0.000 Ba
0.753 0.125 0.250 Ta
0.997 0.625 0.250 Ta
0.875 0.003 0.750 Ta
0.375 0.247 0.750 Ta
0.250 0.750 0.500 Rb
0.500 0.500 0.000 Rb
```


(5)
First-principles (PBE-GGA) data for an optimized crystal structure of Tm6Ag5Os, as listed in Alexandria.

- volume (A^3/atom) = 22.3
- formation enthalpy at 0 K (eV per atom) = -0.350
- size of the total moment (μB/f.u.) = 0.00
- calculated total energy (eV/atom) = -4.71

Cell and atoms, written as POSCAR:
```
Tm6Ag5Os
1.0
4.750 -0.028 1.585
0.038 7.110 0.013
-0.003 -0.014 7.939
Ag Tm Os
5 6 1
direct
0.673 0.000 0.654 Ag
0.000 0.500 0.000 Ag
0.667 0.500 0.666 Ag
0.333 0.500 0.334 Ag
0.327 0.000 0.346 Ag
0.842 0.758 0.316 Tm
0.500 0.232 0.000 Tm
0.842 0.242 0.316 Tm
0.500 0.768 0.000 Tm
0.158 0.242 0.684 Tm
0.158 0.758 0.684 Tm
0.000 0.000 0.000 Os
```


(6)
First-principles (PBE-GGA) data for an optimized crystal structure of In9Ga3Pb, as listed in Alexandria.

- volume (A^3/atom) = 26.4
- formation enthalpy at 0 K (eV per atom) = 0.066
- size of the total moment (μB/f.u.) = 0.00
- calculated total energy (eV/atom) = -2.81

Cell and atoms, written as POSCAR:
```
In9Ga3Pb
1.0
5.901 0.039 2.395
2.877 7.359 1.168
0.187 0.019 8.006
In Ga Pb
9 3 1
direct
0.299 0.212 0.217 In
0.516 0.212 0.783 In
0.344 0.663 0.654 In
0.701 0.788 0.783 In
0.484 0.788 0.217 In
0.656 0.337 0.346 In
0.998 0.663 0.346 In
0.000 0.500 0.000 In
0.002 0.337 0.654 In
0.500 0.000 0.500 Ga
0.500 0.500 0.000 Ga
0.000 0.000 0.500 Ga
0.000 0.000 0.000 Pb
```


Question: Which value of volume does entry 4 give?
Answer: 33.7 A^3/atom


Please write out number 6 again, unchanged.
First-principles (PBE-GGA) data for an optimized crystal structure of In9Ga3Pb, as listed in Alexandria.

- volume (A^3/atom) = 26.4
- formation enthalpy at 0 K (eV per atom) = 0.066
- size of the total moment (μB/f.u.) = 0.00
- calculated total energy (eV/atom) = -2.81

Cell and atoms, written as POSCAR:
```
In9Ga3Pb
1.0
5.901 0.039 2.395
2.877 7.359 1.168
0.187 0.019 8.006
In Ga Pb
9 3 1
direct
0.299 0.212 0.217 In
0.516 0.212 0.783 In
0.344 0.663 0.654 In
0.701 0.788 0.783 In
0.484 0.788 0.217 In
0.656 0.337 0.346 In
0.998 0.663 0.346 In
0.000 0.500 0.000 In
0.002 0.337 0.654 In
0.500 0.000 0.500 Ga
0.500 0.500 0.000 Ga
0.000 0.000 0.500 Ga
0.000 0.000 0.000 Pb
```


Question: calculated total energy of number 6 (In9Ga3Pb)?
Answer: -2.81 eV/atom


Question: What is the size of the total moment in the fifth record?
Answer: 0.00 μB/f.u.